1.
The following is a DFT calculation (PBE) of crystalline HoInCuRh at its relaxed geometry.

Unit cell a=6.6633 b=6.6633 c=6.6633 alpha=90.00 beta=90.00 gamma=90.00
Last column: nearest neighbours and their distance in Å.
Space group F-43m (No. 216)
Unique sites:
1 Ho 0.0000 0.0000 0.0000  4 Cu 2.89, 4 Rh 2.89
2 In 0.0000 0.0000 0.5000  4 Rh 2.89, 4 Cu 2.89
3 Cu 0.2500 0.2500 0.7500  4 In 2.89, 4 Ho 2.89
4 Rh 0.2500 0.2500 0.2500  4 Ho 2.89, 4 In 2.89

Output
V, A^3/atom: 18.49
Uncorrected energy, eV for the cell shown: -82.7

***

2.
The following is a DFT calculation (PBE) of crystalline CaZrIr2 at its relaxed geometry.

Unit cell a=3.0617 b=3.0617 c=8.8215 alpha=90.00 beta=90.00 gamma=90.00
Last column: nearest neighbours and their distance in Å.
Space group P4mm (No. 99)
Unique sites:
1 Ca 0.0000 0.0000 0.0000  4 Ir 2.95, 4 Ca 3.06
2 Zr 0.5000 0.5000 0.6265  4 Ir 2.74, 4 Zr 3.06
3 Ir 0.0000 0.0000 0.4363  4 Zr 2.74, 8 Ir 2.84-3.06
4 Ir 0.5000 0.5000 0.2276  8 Ir 2.84-3.06, 4 Ca 2.95

Output
V, A^3/atom: 20.67
Uncorrected energy, eV for the cell shown: -28.1

***

3.
The following is a DFT calculation (PBE) of crystalline ReSe3 at its relaxed geometry.

Unit cell a=4.7037 b=4.7037 c=3.1489 alpha=90.00 beta=90.00 gamma=90.00
Last column: nearest neighbours and their distance in Å.
Space group P4/mmm (No. 123)
Unique sites:
1 Re 0.0000 0.0000 0.0000  8 Se 2.83, 2 Re 3.15
2 Se 0.0000 0.5000 0.5000  6 Se 2.83-3.15, 4 Re 2.83
3 Se 0.5000 0.5000 0.0000  10 Se 2.83-3.15

Output
V, A^3/atom: 17.42
Formation energy (no corrections), kJ per mole of atoms: 89

***

4.
The following is a DFT calculation (PBE) of crystalline HfV2Se6 at its relaxed geometry.

Unit cell a=17.2823 b=3.5138 c=8.0311 alpha=90.00 beta=113.62 gamma=90.00
Last column: nearest neighbours and their distance in Å.
Space group C2/m (No. 12)
Unique sites:
1 Hf 0.0000 0.0000 0.0000  6 Se 2.64-2.67
2 V 0.1754 0.5000 0.3456  6 Se 2.45-2.63
3 Se 0.0113 0.5000 0.2540  1 V 2.63, 2 Hf 2.64
4 Se 0.1675 0.0000 0.1108  2 V 2.54, 1 Hf 2.67
5 Se 0.1716 0.0000 0.5689  3 V 2.45-2.53

Output
V, A^3/atom: 24.82
Formation energy (no corrections), kJ per mole of atoms: -85

***

5.
The following is a DFT calculation (PBE) of crystalline Pm2ThSb at its relaxed geometry.

Unit cell a=7.8225 b=7.8225 c=7.8225 alpha=90.00 beta=90.00 gamma=90.00
Last column: nearest neighbours and their distance in Å.
Space group Fm-3m (No. 225)
Unique sites:
1 Pm 0.2500 0.2500 0.2500  4 Th 3.39, 4 Sb 3.39
2 Th 0.0000 0.0000 0.0000  8 Pm 3.39
3 Sb 0.0000 0.0000 0.5000  8 Pm 3.39

Output
V, A^3/atom: 29.92
Formation energy (no corrections), kJ per mole of atoms: -21

***

6.
The following is a DFT calculation (PBE) of crystalline Y5Er4Sc2 at its relaxed geometry.

Unit cell a=22.8659 b=3.5100 c=8.5623 alpha=90.00 beta=105.29 gamma=90.00
Last column: nearest neighbours and their distance in Å.
Space group C2/m (No. 12)
Unique sites:
1 Y 0.0000 0.0000 0.0000  6 Y 3.47-3.51, 4 Er 3.51, 2 Sc 3.52
2 Y 0.1356 0.5000 0.0847  7 Y 3.45-3.57, 2 Sc 3.48, 3 Er 3.51-3.59
3 Y 0.2236 0.5000 0.8137  2 Sc 3.45, 7 Y 3.45-3.57, 3 Er 3.47-3.54
4 Er 0.0443 0.5000 0.3676  5 Er 3.42-3.51, 4 Sc 3.42, 3 Y 3.51-3.59
5 Er 0.1810 0.0000 0.4522  5 Y 3.47-3.54, 6 Er 3.49-3.51, 1 Sc 3.51
6 Sc 0.0890 0.0000 0.7219  5 Er 3.42-3.51, 5 Y 3.45-3.52, 2 Sc 3.51

Output
V, A^3/atom: 30.13
Uncorrected energy, eV for the cell shown: -125.5

***

7.
The following is a DFT calculation (PBE) of crystalline PIr3 at its relaxed geometry.

Unit cell a=3.8711 b=3.8711 c=15.2243 alpha=90.00 beta=90.00 gamma=90.00
Last column: nearest neighbours and their distance in Å.
Space group I4/mmm (No. 139)
Unique sites:
1 P 0.0000 0.0000 0.1210  12 Ir 2.67-2.76
2 Ir 0.0000 0.0000 0.3739  8 Ir 2.70-2.73, 4 P 2.74
3 Ir 0.0000 0.5000 0.0000  4 P 2.67, 8 Ir 2.73-2.74
4 Ir 0.0000 0.5000 0.2500  8 Ir 2.70-2.74, 4 P 2.76

Output
V, A^3/atom: 14.26
Uncorrected energy, eV for the cell shown: -123.7

***

8.
The following is a DFT calculation (PBE) of crystalline CsPd2Pb6 at its relaxed geometry.

Unit cell a=11.4571 b=11.9069 c=4.4506 alpha=90.00 beta=112.58 gamma=90.00
Last column: nearest neighbours and their distance in Å.
Space group C2/m (No. 12)
Unique sites:
1 Cs 0.0000 0.0000 0.0000  2 Pd 3.92, 12 Pb 3.97-4.17
2 Pd 0.1294 0.5000 0.6304  1 Pd 2.74, 6 Pb 2.89-2.99
3 Pb 0.0000 0.2763 0.5000  2 Pd 2.99, 4 Pb 3.27-3.28
4 Pb 0.2065 0.3613 0.2061  2 Pd 2.89

Output
V, A^3/atom: 31.14
Uncorrected energy, eV for the cell shown: -69.0

***

Number 1: magnetic moment 0.00 μB per cell. Number 2: magnetic moment 0.00 μB per cell. Number 3: magnetic moment 0.03 μB per cell. Number 4: magnetic moment 4.36 μB per cell. Number 5: magnetic moment 4.25 μB per cell. Number 6: magnetic moment 0.00 μB per cell. Number 7: magnetic moment 0.00 μB per cell. Number 8: magnetic moment 0.00 μB per cell.